Record 1
DFT (PBE) results for a geometry-optimized Ce3HgAu2 structure.

Geometry as extended XYZ:
```
6
Lattice="3.736 0.000 0.000 0.000 3.736 0.000 0.000 0.000 11.193" Properties=species:S:1:pos:R:3 pbc="T T T"
Ce 0.000 0.000 0.000
Ce 0.000 0.000 3.579
Ce 0.000 0.000 7.614
Hg 1.868 1.868 5.596
Au 1.868 1.868 1.826
Au 1.868 1.868 9.367
```

Results
The calculation puts the spin magnetization at 0.5612 μB per atom. The calculation puts the total energy at -4.60 eV/atom. The formation energy is -491.4 meV/atom. The polymorph energy (0 for the lowest one) is 0 kJ/mol of formula units. As for the symmetry: No. 123.


Record 2
DFT (PBE) results for a geometry-optimized Sb2MoW structure.

Geometry as extended XYZ:
```
4
Lattice="1.699 -2.641 0.000 1.699 2.641 0.000 0.000 0.000 8.682" Properties=species:S:1:pos:R:3 pbc="T T T"
Sb 0.000 0.000 2.156
Sb 0.000 0.000 6.526
Mo 1.699 0.000 0.000
W 1.699 0.000 4.341
```

Results
The calculation puts the spin magnetization at 0.0000 μB per atom. The value obtained for the energy relative to the elements, uncorrected is 0.81 eV per atom. The calculation puts the total energy at -7.20 eV/atom. The polymorph energy (0 for the lowest one) is 246 kJ/mol of formula units. As for the symmetry: No. 65.


The highest spin magnetization belongs to which entry? Ce3HgAu2


Among the records above, which one has the lowest polymorph energy (0 for the lowest one)? Ce3HgAu2


Which value of spin magnetization does entry 1 give? 0.5612 μB per atom


Which value of polymorph energy (0 for the lowest one) does entry 1 give? 0 kJ/mol of formula units